The following is a DFT calculation (PBE) of a relaxed structure of Ca2La2Mg.

extended XYZ file:
```
10
Lattice="8.205 0.000 0.000 0.000 8.205 0.000 0.000 0.000 5.717" Properties=species:S:1:pos:R:3 pbc="T T T"
Ca 1.403 5.505 2.858
Ca 5.505 6.802 2.858
Ca 6.802 2.699 2.858
Ca 2.699 1.403 2.858
Mg 0.000 0.000 0.000
Mg 4.102 4.102 0.000
La 3.066 7.169 0.000
La 7.169 5.139 0.000
La 5.139 1.036 0.000
La 1.036 3.066 0.000
```

Formation energy (meV per atom): 210
Space-group type: P4/mbm, No. 127
E above lowest polymorph (meV/atom): 0

***

The following is a DFT calculation (PBE) of a relaxed structure of CdPPt2.

extended XYZ file:
```
4
Lattice="5.162 -0.008 -0.020 1.980 4.767 0.020 -3.061 -3.145 2.718" Properties=species:S:1:pos:R:3 pbc="T T T"
Cd 2.836 -0.387 1.349
P 1.245 2.001 1.369
Pt 0.340 0.227 0.000
Pt 3.231 2.153 0.000
```

Formation energy (meV per atom): -62
Space-group type: Immm, No. 71
E above lowest polymorph (meV/atom): 196

***

The following is a DFT calculation (PBE) of a relaxed structure of Ho3In5O12.

extended XYZ file:
```
80
Lattice="11.346 0.000 0.000 -3.782 10.697 0.000 -3.782 -5.349 9.264" Properties=species:S:1:pos:R:3 pbc="T T T"
Ho 6.619 3.343 1.158
Ho 6.619 7.354 1.158
Ho -0.946 4.680 5.790
Ho 0.946 -0.669 3.474
Ho 8.510 0.000 2.316
Ho 0.946 5.349 2.316
Ho 2.837 0.000 6.948
Ho -4.728 5.349 6.948
Ho 2.837 6.017 5.790
Ho 4.728 0.669 3.474
Ho -2.837 -2.006 8.106
Ho -2.837 2.006 8.106
In -0.946 2.674 2.316
In -1.891 5.349 0.000
In 0.000 0.000 0.000
In 2.837 2.006 1.158
In 3.782 -2.674 4.632
In 3.782 5.349 0.000
In -2.837 6.017 3.474
In 4.728 -3.343 8.106
In 4.728 4.680 3.474
In 0.946 -2.674 6.948
In 2.837 8.023 2.316
In 1.891 2.674 4.632
In 5.673 0.000 0.000
In -1.891 -2.674 4.632
In -0.946 0.669 5.790
In -0.946 8.692 1.158
In -3.782 2.674 4.632
In 6.619 -0.669 5.790
In 0.946 3.343 8.106
In 4.728 2.674 6.948
O 7.470 1.185 0.417
O 0.094 3.628 3.814
O 8.382 2.414 2.614
O 4.856 1.617 1.235
O 1.373 4.080 6.233
O 7.957 5.369 1.601
O -0.818 6.145 3.849
O -2.965 9.080 1.235
O 0.518 6.617 6.233
O 5.280 5.329 1.601
O 5.767 2.906 3.397
O 5.767 9.512 0.417
O -3.264 4.764 5.049
O 2.284 3.952 0.783
O -3.876 7.791 3.397
O 1.985 -1.721 5.450
O -0.518 0.684 2.018
O 2.284 6.725 0.818
O 4.856 8.284 2.614
O -0.393 3.972 0.818
O -2.409 6.033 7.246
O 2.709 4.552 3.849
O 5.155 5.933 5.049
O 4.175 -1.397 8.481
O 1.074 0.796 5.415
O -1.373 -0.585 4.215
O -0.393 6.745 0.783
O -1.074 -2.935 6.650
O 6.191 -0.684 2.018
O 4.175 1.377 8.446
O 1.498 -1.377 8.446
O 1.797 7.070 3.814
O 4.300 4.665 7.246
O 7.658 -2.443 5.867
O 7.046 0.585 4.215
O -1.985 -4.163 8.847
O 1.498 1.397 8.481
O 3.264 -1.269 3.031
O -1.498 0.020 7.663
O -1.985 2.443 5.867
O 6.747 -3.731 8.029
O 4.600 -0.796 5.415
O -1.074 3.731 8.029
O -4.175 -0.020 7.663
O 2.409 1.269 3.031
O -4.600 2.935 6.650
O 3.688 1.721 5.450
O -3.688 4.163 8.847
```

Space-group type: Ia-3d, No. 230
Formation energy without anion corrections (meV/atom): -2231.5

***

| no. | total DFT energy (no corrections) (eV/atom) |
| --- | --- |
| 1 | -2.880 |
| 2 | -4.664 |
| 3 | -6.578 |